CaMnIrPt2 after structural relaxation, computed with PBE.

**ΔH_f (0 K)**: 149.51 kJ/mol of atoms
**VASP energy**: -0.3582 Ry per atom
**Total magnetic moment**: 4.63 μB per formula unit

Lattice parameters (Å, degrees): 4.881 4.783 4.881 90.00 90.00 90.00
Positions (direct):
1 Mn 0.500 0.500 0.500
2 Ca 0.000 0.000 0.000
3 Ir 0.000 0.500 0.000
4 Pt 0.000 0.000 0.500
5 Pt 0.500 0.000 0.000